## La2IrPt (PBE)

Data for an optimized crystal structure of La2IrPt.

Cell and atoms, written as CIF:
```
data_La2IrPt
_cell_length_a 3.208
_cell_length_b 5.283
_cell_length_c 10.850
_cell_angle_alpha 90.00
_cell_angle_beta 90.00
_cell_angle_gamma 90.00
_symmetry_space_group_name_H-M 'I m m m'
_symmetry_Int_Tables_number 71
_symmetry_space_group_name_Hall '-I 2 2'
loop_
_atom_site_label
_atom_site_type_symbol
_atom_site_fract_x
_atom_site_fract_y
_atom_site_fract_z
_atom_site_occupancy
La1 La 0.000 0.000 0.244 1
Ir1 Ir 0.000 0.000 0.000 1
Pt1 Pt 0.000 0.000 0.500 1
```

## LaIr2Pt (PBE)

Data for an optimized crystal structure of LaIr2Pt.

The calculation puts the offset from the most stable computed form at 200 meV/atom.

Cell and atoms, written as CIF:
```
data_LaIr2Pt
_cell_length_a 3.569
_cell_length_b 3.569
_cell_length_c 6.245
_cell_angle_alpha 90.00
_cell_angle_beta 90.00
_cell_angle_gamma 90.00
_symmetry_space_group_name_H-M 'P 4 m m'
_symmetry_Int_Tables_number 99
_symmetry_space_group_name_Hall 'P 4 -2'
loop_
_atom_site_label
_atom_site_type_symbol
_atom_site_fract_x
_atom_site_fract_y
_atom_site_fract_z
_atom_site_occupancy
La1 La 0.000 0.000 0.000 1
Ir1 Ir 0.000 0.000 0.543 1
Ir2 Ir 0.500 0.500 0.669 1
Pt1 Pt 0.500 0.500 0.251 1
```

## LaIr2Pt (PBE)

Data for an optimized crystal structure of LaIr2Pt.

The calculation puts the offset from the most stable computed form at 198 meV/atom.

Cell and atoms, written as CIF:
```
data_LaIr2Pt
_cell_length_a 2.949
_cell_length_b 4.763
_cell_length_c 5.420
_cell_angle_alpha 90.00
_cell_angle_beta 101.66
_cell_angle_gamma 90.00
_symmetry_space_group_name_H-M 'P 1 2/m 1'
_symmetry_Int_Tables_number 10
_symmetry_space_group_name_Hall '-P 2y'
loop_
_atom_site_label
_atom_site_type_symbol
_atom_site_fract_x
_atom_site_fract_y
_atom_site_fract_z
_atom_site_occupancy
La1 La 0.000 0.000 0.000 1
Ir1 Ir 0.339 0.500 0.710 1
Pt1 Pt 0.500 0.000 0.500 1
```

## LaIr2Pt (PBE)

Data for an optimized crystal structure of LaIr2Pt.

The calculation puts the offset from the most stable computed form at 178 meV/atom.

Cell and atoms, written as CIF:
```
data_LaIr2Pt
_cell_length_a 5.919
_cell_length_b 7.901
_cell_length_c 3.106
_cell_angle_alpha 90.00
_cell_angle_beta 90.00
_cell_angle_gamma 90.00
_symmetry_space_group_name_H-M 'C m m m'
_symmetry_Int_Tables_number 65
_symmetry_space_group_name_Hall '-C 2 2'
loop_
_atom_site_label
_atom_site_type_symbol
_atom_site_fract_x
_atom_site_fract_y
_atom_site_fract_z
_atom_site_occupancy
La1 La 0.000 0.000 0.000 1
Ir1 Ir 0.250 0.250 0.500 1
Pt1 Pt 0.000 0.500 0.000 1
```

## LaIr2Pt (PBE)

Data for an optimized crystal structure of LaIr2Pt.

The calculation puts the offset from the most stable computed form at 120 meV/atom.

Cell and atoms, written as CIF:
```
data_LaIr2Pt
_cell_length_a 2.890
_cell_length_b 3.831
_cell_length_c 6.854
_cell_angle_alpha 90.00
_cell_angle_beta 90.00
_cell_angle_gamma 90.00
_symmetry_space_group_name_H-M 'P m m 2'
_symmetry_Int_Tables_number 25
_symmetry_space_group_name_Hall 'P 2 -2'
loop_
_atom_site_label
_atom_site_type_symbol
_atom_site_fract_x
_atom_site_fract_y
_atom_site_fract_z
_atom_site_occupancy
La1 La 0.000 0.000 0.000 1
Ir1 Ir 0.000 0.000 0.532 1
Ir2 Ir 0.500 0.500 0.685 1
Pt1 Pt 0.500 0.500 0.288 1
```

## LaIrPt2 (PBE)

Data for an optimized crystal structure of LaIrPt2.

The calculation puts the offset from the most stable computed form at 9 meV/atom.

Cell and atoms, written as CIF:
```
data_LaIrPt2
_cell_length_a 7.829
_cell_length_b 4.521
_cell_length_c 5.546
_cell_angle_alpha 90.00
_cell_angle_beta 118.29
_cell_angle_gamma 90.00
_symmetry_space_group_name_H-M 'C 1 2/m 1'
_symmetry_Int_Tables_number 12
_symmetry_space_group_name_Hall '-C 2y'
loop_
_atom_site_label
_atom_site_type_symbol
_atom_site_fract_x
_atom_site_fract_y
_atom_site_fract_z
_atom_site_occupancy
La1 La 0.000 0.000 0.000 1
Ir1 Ir 0.000 0.500 0.500 1
Pt1 Pt 0.199 0.000 0.595 1
```

## La3IrPt (PBE)

Data for an optimized crystal structure of La3IrPt.

The calculation puts the offset from the most stable computed form at 12 meV/atom.

Cell and atoms, written as CIF:
```
data_La3IrPt
_cell_length_a 13.411
_cell_length_b 5.914
_cell_length_c 8.542
_cell_angle_alpha 90.00
_cell_angle_beta 110.23
_cell_angle_gamma 90.00
_symmetry_space_group_name_H-M 'C 1 2/m 1'
_symmetry_Int_Tables_number 12
_symmetry_space_group_name_Hall '-C 2y'
loop_
_atom_site_label
_atom_site_type_symbol
_atom_site_fract_x
_atom_site_fract_y
_atom_site_fract_z
_atom_site_occupancy
La1 La 0.006 0.000 0.231 1
La2 La 0.163 0.500 0.603 1
La3 La 0.166 0.500 0.072 1
Ir1 Ir 0.171 0.000 0.090 1
Pt1 Pt 0.010 0.500 0.265 1
```

## La4IrPt (PBE)

Data for an optimized crystal structure of La4IrPt.

The calculation puts the offset from the most stable computed form at 1188 meV/atom.

Cell and atoms, written as CIF:
```
data_La4IrPt
_cell_length_a 8.576
_cell_length_b 8.576
_cell_length_c 8.576
_cell_angle_alpha 90.00
_cell_angle_beta 90.00
_cell_angle_gamma 90.00
_symmetry_space_group_name_H-M 'F -4 3 m'
_symmetry_Int_Tables_number 216
_symmetry_space_group_name_Hall 'F -4 2 3'
loop_
_atom_site_label
_atom_site_type_symbol
_atom_site_fract_x
_atom_site_fract_y
_atom_site_fract_z
_atom_site_occupancy
La1 La 0.125 0.125 0.125 1
Ir1 Ir 0.000 0.000 0.500 1
Pt1 Pt 0.250 0.250 0.750 1
```

## La2Ir2Pt (PBE)

Data for an optimized crystal structure of La2Ir2Pt.

Cell and atoms, written as CIF:
```
data_La2Ir2Pt
_cell_length_a 7.300
_cell_length_b 7.300
_cell_length_c 4.173
_cell_angle_alpha 90.00
_cell_angle_beta 90.00
_cell_angle_gamma 90.00
_symmetry_space_group_name_H-M 'P 4/m b m'
_symmetry_Int_Tables_number 127
_symmetry_space_group_name_Hall '-P 4 2ab'
loop_
_atom_site_label
_atom_site_type_symbol
_atom_site_fract_x
_atom_site_fract_y
_atom_site_fract_z
_atom_site_occupancy
La1 La 0.181 0.319 0.000 1
Ir1 Ir 0.130 0.630 0.500 1
Pt1 Pt 0.000 0.000 0.500 1
```

## La9Ir2Pt4 (PBE)

Data for an optimized crystal structure of La9Ir2Pt4.

Cell and atoms, written as CIF:
```
data_La9Ir2Pt4
_cell_length_a 7.3292
_cell_length_b 7.3292
_cell_length_c 20.3680
_cell_angle_alpha 90.00
_cell_angle_beta 90.00
_cell_angle_gamma 120.00
_symmetry_space_group_name_H-M 'P -3 c 1'
_symmetry_Int_Tables_number 165
_symmetry_space_group_name_Hall '-P 3 2"c'
loop_
_atom_site_label
_atom_site_type_symbol
_atom_site_fract_x
_atom_site_fract_y
_atom_site_fract_z
_atom_site_occupancy
La1 La 0.0000 0.3165 0.2500 1
La2 La 0.0076 0.3341 0.9156 1
Ir1 Ir 0.0000 0.0000 0.1620 1
Pt1 Pt 0.3333 0.6667 0.0038 1
Pt2 Pt 0.3333 0.6667 0.3295 1
```

## LaIr3Pt (PBE)

Data for an optimized crystal structure of LaIr3Pt.

The calculation puts the offset from the most stable computed form at 0 meV/atom.

Cell and atoms, written as CIF:
```
data_LaIr3Pt
_cell_length_a 4.868
_cell_length_b 4.868
_cell_length_c 4.868
_cell_angle_alpha 90.00
_cell_angle_beta 90.00
_cell_angle_gamma 90.00
_symmetry_space_group_name_H-M 'P m -3 m'
_symmetry_Int_Tables_number 221
_symmetry_space_group_name_Hall '-P 4 2 3'
loop_
_atom_site_label
_atom_site_type_symbol
_atom_site_fract_x
_atom_site_fract_y
_atom_site_fract_z
_atom_site_occupancy
La1 La 0.000 0.000 0.000 1
Ir1 Ir 0.000 0.500 0.500 1
Pt1 Pt 0.500 0.500 0.500 1
```

## LaIrPt2 (PBE)

Data for an optimized crystal structure of LaIrPt2.

The calculation puts the offset from the most stable computed form at 278 meV/atom.

Cell and atoms, written as CIF:
```
data_LaIrPt2
_cell_length_a 4.224
_cell_length_b 4.224
_cell_length_c 8.425
_cell_angle_alpha 90.00
_cell_angle_beta 90.00
_cell_angle_gamma 90.00
_symmetry_space_group_name_H-M 'I -4 m 2'
_symmetry_Int_Tables_number 119
_symmetry_space_group_name_Hall 'I -4 -2'
loop_
_atom_site_label
_atom_site_type_symbol
_atom_site_fract_x
_atom_site_fract_y
_atom_site_fract_z
_atom_site_occupancy
La1 La 0.000 0.000 0.000 1
Ir1 Ir 0.000 0.500 0.250 1
Pt1 Pt 0.000 0.000 0.500 1
Pt2 Pt 0.000 0.500 0.750 1
```

## LaIr2Pt (PBE)

Data for an optimized crystal structure of LaIr2Pt.

The calculation puts the offset from the most stable computed form at 132 meV/atom.

Cell and atoms, written as CIF:
```
data_LaIr2Pt
_cell_length_a 2.937
_cell_length_b 4.460
_cell_length_c 5.803
_cell_angle_alpha 90.00
_cell_angle_beta 100.28
_cell_angle_gamma 90.00
_symmetry_space_group_name_H-M 'P 1 m 1'
_symmetry_Int_Tables_number 6
_symmetry_space_group_name_Hall 'P -2y'
loop_
_atom_site_label
_atom_site_type_symbol
_atom_site_fract_x
_atom_site_fract_y
_atom_site_fract_z
_atom_site_occupancy
La1 La 0.000 0.000 0.000 1
Ir1 Ir 0.196 0.500 0.642 1
Ir2 Ir 0.618 0.000 0.527 1
Pt1 Pt 0.566 0.500 0.231 1
```

N(E_F) (computed, states/eV per atom): 1.022; 0.697; 0.616; 0.748; 0.891; 0.405; 0.664; 1.386; 0.405; 0.831; 1.892; 1.147; 0.979
ΔE_f (computed, meV/atom): 269; -135; -137; -157; -215; -675; -819; 471; -684; -868; 833; -406; -203
Magnetization (computed, μB per atom): 0.0000; 0.0000; 0.0000; 0.0000; 0.0001; 0.0000; 0.0000; 0.0003; 0.0000; 0.0000; 0.5766; 0.0000; 0.0000